Record 1
DFT (PBE) results for crystalline ZnAs2Os at its relaxed geometry.

Values from the calculation:
E in eV per atom: -5.260
Formation energy from the elements in meV per atom: 190

a b c (Å): 2.9831 2.9831 7.8621
angles (deg): 90.00 90.00 90.00
Atoms (fractional coordinates):
1 As 0.0000 0.0000 0.9604
2 As 0.5000 0.5000 0.3216
3 Os 0.0000 0.0000 0.4993
4 Zn 0.5000 0.5000 0.7188

Record 2
DFT (PBE) results for crystalline ZnAsOs at its relaxed geometry.

Values from the calculation:
E in eV per atom: -5.407
Excess energy over the best structure of this formula in the dataset in eV/atom: 0.1560
Formation energy from the elements in meV per atom: 311

a b c (Å): 4.1881 4.1881 4.1881
angles (deg): 60.00 60.00 60.00
Atoms (fractional coordinates):
1 As 0.5000 0.5000 0.5000
2 Os 0.7500 0.7500 0.7500
3 Zn 0.0000 0.0000 0.0000

Record 3
DFT (PBE) results for crystalline ZnAsOs2 at its relaxed geometry.

Values from the calculation:
E in eV per atom: -6.712
Excess energy over the best structure of this formula in the dataset in eV/atom: 0.1599
Formation energy from the elements in meV per atom: 383

a b c (Å): 2.8472 3.7867 5.4698
angles (deg): 90.00 90.00 90.00
Atoms (fractional coordinates):
1 As 0.5000 0.5000 0.7711
2 Os 0.0000 0.0000 0.9916
3 Os 0.5000 0.5000 0.2563
4 Zn 0.0000 0.0000 0.4809

Question: Which of these has the lowest E?
Answer: ZnAsOs2